## TbMnTe2O8 (PBE with a Hubbard U)

Data for a relaxed TbMnTe2O8 crystal.

abc: 6.0390 6.0390 6.3999
angles: 90.00 90.00 120.00
Last column: nearest neighbours and their distance in Å.
Space group P-3m1 (No. 164)
Symmetry-distinct sites (fractional):
1 Tb 0.0000 0.0000 0.0000 [1 per cell]  6 O 2.28
2 Mn 0.0000 0.0000 0.5000 [1 per cell]  6 O 2.27
3 Te 0.3333 0.6667 0.3248 [2 per cell]  4 O 1.81-1.93
4 O 0.1546 0.3091 0.2511 [6 per cell]  1 Te 1.93
5 O 0.3333 0.6667 0.6076 [2 per cell]  1 Te 1.81

Calculated values
- final energy (eV/atom) = -6.25